(1)
DFT (PBE) results for PHOsRu after structural relaxation.

For the excess energy over the best structure of this formula in the dataset, the calculation gives 0 meV/atom. The value obtained for the total energy is -29.43 eV/f.u. For the volume, the calculation gives 11.8 Å³ per atom.

The structure in POSCAR format:
```
PHOsRu
1.0
7.932 0.000 0.000
0.000 3.040 0.000
-3.220 0.000 3.927
P H Os Ru
2 2 2 2
Direct
0.000 0.000 0.000
0.500 0.500 0.000
0.495 0.500 0.522
0.995 0.000 0.522
0.255 0.500 0.108
0.755 0.000 0.108
0.246 0.000 0.598
0.746 0.500 0.598
```



(2)
DFT (PBE) results for PHOsRu after structural relaxation.

For the excess energy over the best structure of this formula in the dataset, the calculation gives 128 meV/atom. The value obtained for the total energy is -28.92 eV/f.u. For the volume, the calculation gives 11.6 Å³ per atom.

The structure in POSCAR format:
```
PHOsRu
1.0
2.864 0.000 0.000
1.424 3.658 0.000
0.005 0.668 4.430
P H Os Ru
1 1 1 1
Direct
0.000 0.000 0.000
0.545 0.887 0.427
0.696 0.607 0.771
0.317 0.367 0.287
```



(3)
DFT (PBE) results for PHOsS2 after structural relaxation.

For the excess energy over the best structure of this formula in the dataset, the calculation gives 97 meV/atom. The value obtained for the total energy is -22.85 eV/f.u. For the volume, the calculation gives 20.2 Å³ per atom.

The structure in POSCAR format:
```
PHOsS2
1.0
4.702 0.000 0.000
0.000 4.702 0.000
0.000 0.000 4.557
P H Os S
1 1 1 2
Direct
0.000 0.000 0.000
0.500 0.500 0.000
0.000 0.000 0.500
0.000 0.500 0.500
0.500 0.000 0.500
```



> Which of these has the lowest excess energy over the best structure of this formula in the dataset?

number 1



> Number 2 is which compound?

PHOsRu



> The lowest excess energy over the best structure of this formula in the dataset belongs to which entry?

number 1



What did the first record say?
DFT (PBE) results for PHOsRu after structural relaxation.

For the excess energy over the best structure of this formula in the dataset, the calculation gives 0 meV/atom. The value obtained for the total energy is -29.43 eV/f.u. For the volume, the calculation gives 11.8 Å³ per atom.

The structure in POSCAR format:
```
PHOsRu
1.0
7.932 0.000 0.000
0.000 3.040 0.000
-3.220 0.000 3.927
P H Os Ru
2 2 2 2
Direct
0.000 0.000 0.000
0.500 0.500 0.000
0.495 0.500 0.522
0.995 0.000 0.522
0.255 0.500 0.108
0.755 0.000 0.108
0.246 0.000 0.598
0.746 0.500 0.598
```